(1)
Below is crystalline MgIr2Se at its relaxed geometry, with properties calculated at the PBE level.

## Properties
Crystal system: orthorhombic
Energy relative to the lowest polymorph listed for this composition in eV/atom: 0.0630
Electronic total energy in eV/atom: -5.67
Space-group type: Imm2
Uncorrected formation energy in eV/atom: 0.035
Size of the total moment in μB per formula unit: 0.000

abc: 5.472 5.472 5.472
angles: 148.17 131.56 59.14
Sites, in units of the cell vectors:
Mg1 0.000 0.000 0.000
Ir1 0.274 0.774 0.500
Ir2 0.524 0.524 0.000
Se1 0.733 0.233 0.500

(2)
Below is crystalline Mg2IrSe at its relaxed geometry, with properties calculated at the PBE level.

## Properties
Crystal system: tetragonal
Electronic total energy in eV/atom: -4.08
Space-group type: I-4m2
Uncorrected formation energy in eV/atom: -0.201
Size of the total moment in μB per formula unit: 0.000

abc: 5.332 5.332 5.332
angles: 137.02 137.02 62.41
Sites, in units of the cell vectors:
Mg1 0.000 0.000 0.000
Mg2 0.750 0.250 0.500
Ir1 0.500 0.500 0.000
Se1 0.250 0.750 0.500

(3)
Below is crystalline Mg2IrSe at its relaxed geometry, with properties calculated at the PBE level.

## Properties
Crystal system: trigonal
Electronic total energy in eV/atom: -4.16
Space-group type: R-3m
Uncorrected formation energy in eV/atom: -0.279
Size of the total moment in μB per formula unit: 0.000

abc: 7.756 7.756 7.756
angles: 25.03 25.03 25.03
Sites, in units of the cell vectors:
Mg1 0.250 0.250 0.250
Mg2 0.750 0.750 0.750
Ir1 0.500 0.500 0.500
Se1 0.000 0.000 0.000

(4)
Below is crystalline MgIrSe at its relaxed geometry, with properties calculated at the PBE level.

## Properties
Crystal system: cubic
Energy relative to the lowest polymorph listed for this composition in eV/atom: 0.0593
Electronic total energy in eV/atom: -4.79
Space-group type: F-43m
Uncorrected formation energy in eV/atom: -0.148
Size of the total moment in μB per formula unit: 0.000

abc: 4.309 4.309 4.309
angles: 60.00 60.00 60.00
Sites, in units of the cell vectors:
Mg1 0.000 0.000 0.000
Ir1 0.250 0.250 0.250
Se1 0.500 0.500 0.500

(5)
Below is crystalline Mg2IrSe at its relaxed geometry, with properties calculated at the PBE level.

## Properties
Crystal system: orthorhombic
Electronic total energy in eV/atom: -4.34
Space-group type: Pmmm
Uncorrected formation energy in eV/atom: -0.458
Size of the total moment in μB per formula unit: 0.000

abc: 3.342 3.378 6.050
angles: 90.00 90.00 90.00
Sites, in units of the cell vectors:
Mg1 0.000 0.000 0.234
Mg2 0.000 0.000 0.766
Ir1 0.500 0.500 0.000
Se1 0.500 0.500 0.500

(6)
Below is crystalline MgIr2Se at its relaxed geometry, with properties calculated at the PBE level.

## Properties
Crystal system: orthorhombic
Energy relative to the lowest polymorph listed for this composition in eV/atom: 0.1101
Electronic total energy in eV/atom: -5.62
Space-group type: Pmmm
Uncorrected formation energy in eV/atom: 0.082
Size of the total moment in μB per formula unit: 0.000

abc: 2.888 4.663 4.738
angles: 90.00 90.00 90.00
Sites, in units of the cell vectors:
Mg1 0.000 0.000 0.000
Ir1 0.000 0.500 0.500
Ir2 0.500 0.500 0.000
Se1 0.500 0.000 0.500

(7)
Below is crystalline Mg2IrSe at its relaxed geometry, with properties calculated at the PBE level.

## Properties
Crystal system: tetragonal
Electronic total energy in eV/atom: -3.97
Space-group type: I-42d
Uncorrected formation energy in eV/atom: -0.084
Size of the total moment in μB per formula unit: 0.000

abc: 5.858 5.858 5.858
angles: 103.90 103.90 121.29
Sites, in units of the cell vectors:
Mg1 0.123 0.125 0.498
Mg2 0.375 0.877 0.002
Mg3 0.627 0.625 0.502
Mg4 0.875 0.373 0.998
Ir1 0.250 0.750 0.500
Ir2 0.500 0.500 0.000
Se1 0.000 0.000 0.000
Se2 0.750 0.250 0.500

(8)
Below is crystalline MgIr2Se at its relaxed geometry, with properties calculated at the PBE level.

## Properties
Crystal system: orthorhombic
Energy relative to the lowest polymorph listed for this composition in eV/atom: 0.2833
Electronic total energy in eV/atom: -5.45
Space-group type: Cmmm
Uncorrected formation energy in eV/atom: 0.255
Size of the total moment in μB per formula unit: 0.000

abc: 2.850 2.850 8.978
angles: 90.00 90.00 118.64
Sites, in units of the cell vectors:
Mg1 0.000 0.000 0.000
Ir1 0.500 0.500 0.246
Ir2 0.500 0.500 0.754
Se1 0.000 0.000 0.500

(9)
Below is crystalline Mg2IrSe at its relaxed geometry, with properties calculated at the PBE level.

## Properties
Crystal system: tetragonal
Electronic total energy in eV/atom: -3.91
Space-group type: P4mm
Uncorrected formation energy in eV/atom: -0.027
Size of the total moment in μB per formula unit: 0.000

abc: 3.070 3.070 7.902
angles: 90.00 90.00 90.00
Sites, in units of the cell vectors:
Mg1 0.000 0.000 0.000
Mg2 0.500 0.500 0.313
Ir1 0.500 0.500 0.778
Se1 0.000 0.000 0.576

(10)
Below is crystalline MgIr4Se at its relaxed geometry, with properties calculated at the PBE level.

## Properties
Crystal system: cubic
Electronic total energy in eV/atom: -6.36
Space-group type: F-43m
Uncorrected formation energy in eV/atom: 0.398
Size of the total moment in μB per formula unit: 0.000

abc: 5.245 5.245 5.245
angles: 60.00 60.00 60.00
Sites, in units of the cell vectors:
Mg1 0.000 0.000 0.000
Ir1 0.375 0.375 0.375
Ir2 0.375 0.375 0.875
Ir3 0.375 0.875 0.375
Ir4 0.875 0.375 0.375
Se1 0.750 0.750 0.750

(11)
Below is crystalline MgIr2Se at its relaxed geometry, with properties calculated at the PBE level.

## Properties
Crystal system: trigonal
Energy relative to the lowest polymorph listed for this composition in eV/atom: 0.1206
Electronic total energy in eV/atom: -5.61
Space-group type: R-3m
Uncorrected formation energy in eV/atom: 0.092
Size of the total moment in μB per formula unit: 0.000

abc: 8.568 8.568 8.568
angles: 19.90 19.90 19.90
Sites, in units of the cell vectors:
Mg1 0.000 0.000 0.000
Ir1 0.246 0.246 0.246
Ir2 0.754 0.754 0.754
Se1 0.500 0.500 0.500

(12)
Below is crystalline MgIrSe at its relaxed geometry, with properties calculated at the PBE level.

## Properties
Crystal system: hexagonal
Energy relative to the lowest polymorph listed for this composition in eV/atom: 0.2198
Electronic total energy in eV/atom: -4.63
Space-group type: P-6m2
Uncorrected formation energy in eV/atom: 0.013
Size of the total moment in μB per formula unit: 0.000

abc: 3.330 3.330 11.628
angles: 90.00 90.00 120.00
Sites, in units of the cell vectors:
Mg1 0.000 0.000 0.160
Mg2 0.000 0.000 0.840
Ir1 0.667 0.333 0.000
Ir2 0.667 0.333 0.500
Se1 0.333 0.667 0.355
Se2 0.333 0.667 0.645

(13)
Below is crystalline MgIrSe4 at its relaxed geometry, with properties calculated at the PBE level.

## Properties
Crystal system: cubic
Electronic total energy in eV/atom: -3.22
Space-group type: F-43m
Uncorrected formation energy in eV/atom: 0.845
Size of the total moment in μB per formula unit: 0.568

abc: 5.580 5.580 5.580
angles: 60.00 60.00 60.00
Sites, in units of the cell vectors:
Mg1 0.000 0.000 0.000
Ir1 0.250 0.250 0.250
Se1 0.128 0.624 0.624
Se2 0.624 0.128 0.624
Se3 0.624 0.624 0.128
Se4 0.624 0.624 0.624

(14)
Below is crystalline MgIr2Se at its relaxed geometry, with properties calculated at the PBE level.

## Properties
Crystal system: monoclinic
Energy relative to the lowest polymorph listed for this composition in eV/atom: 0.0165
Electronic total energy in eV/atom: -5.71
Space-group type: C2/m
Uncorrected formation energy in eV/atom: -0.012
Size of the total moment in μB per formula unit: 0.000

abc: 4.699 4.699 4.851
angles: 99.92 99.92 36.35
Sites, in units of the cell vectors:
Mg1 0.000 0.000 0.000
Ir1 0.252 0.252 0.750
Ir2 0.748 0.748 0.250
Se1 0.500 0.500 0.500